# 1
The following is a GGA-PBE calculation of crystalline LaCu2Rh2 at its relaxed geometry, from the Alexandria database.

It has space group P4/mbm (No. 127), with a = 7.300 Å, b = 7.300 Å, c = 3.118 Å, α = 90.00°, β = 90.00° and γ = 90.00°. Symmetry generates all atoms from La at (0.000, 0.000, 0.000), Cu at (0.121, 0.379, 0.000) and Rh at (0.173, 0.673, 0.500).

Its crystal system is tetragonal. The polymorph energy (0 for the lowest one) is 0.086 eV/atom. Its calculated formation energy is -0.133 eV/atom.


# 2
The following is a GGA-PBE calculation of crystalline YZr2Ru at its relaxed geometry, from the Alexandria database.

It has space group Imm2 (No. 44), with a = 3.420 Å, b = 5.017 Å, c = 10.267 Å, α = 90.00°, β = 90.00° and γ = 90.00°. Symmetry generates all atoms from Y at (0.000, 0.000, 0.000), Zr at (0.000, 0.000, 0.578), Zr at (0.000, 0.500, 0.787) and Ru at (0.000, 0.500, 0.275).

Its crystal system is orthorhombic. The polymorph energy (0 for the lowest one) is 0.077 eV/atom. Its calculated formation energy is -0.192 eV/atom.


# 3
The following is a GGA-PBE calculation of crystalline KLi2Cu2As2 at its relaxed geometry, from the Alexandria database.

It has space group R-3m (No. 166, hexagonal axes), with a = 4.1434 Å, b = 4.1434 Å, c = 27.2531 Å, α = 90.00°, β = 90.00° and γ = 120.00°. Symmetry generates all atoms from K at (0.0000, 0.0000, 0.0000), Li at (0.0000, 0.0000, 0.1417), Cu at (0.0000, 0.0000, 0.4345) and As at (0.0000, 0.0000, 0.2403).

Its crystal system is trigonal. Its calculated formation energy is -0.449 eV/atom.


# 4
The following is a GGA-PBE calculation of crystalline Mg2AlTlRe at its relaxed geometry, from the Alexandria database.

It has space group P4/mmm (No. 123), with a = 5.073 Å, b = 5.073 Å, c = 4.718 Å, α = 90.00°, β = 90.00° and γ = 90.00°. Symmetry generates all atoms from Mg at (0.000, 0.500, 0.000), Al at (0.000, 0.000, 0.000), Tl at (0.500, 0.500, 0.500) and Re at (0.000, 0.000, 0.500).

Its crystal system is tetragonal. Its calculated formation energy is 0.895 eV/atom.


# 5
The following is a GGA-PBE calculation of crystalline CeEr2Hg5 at its relaxed geometry, from the Alexandria database.

It has space group I4/mmm (No. 139), with a = 5.261 Å, b = 5.261 Å, c = 14.582 Å, α = 90.00°, β = 90.00° and γ = 90.00°. Symmetry generates all atoms from Ce at (0.000, 0.000, 0.000), Er at (0.000, 0.000, 0.267), Hg at (0.000, 0.000, 0.500) and Hg at (0.000, 0.500, 0.130).

Its crystal system is tetragonal. Its calculated formation energy is -0.392 eV/atom.


# 6
The following is a GGA-PBE calculation of crystalline Gd2TeO2 at its relaxed geometry, from the Alexandria database.

It has space group I4/mmm (No. 139), with a = 3.981 Å, b = 3.981 Å, c = 12.688 Å, α = 90.00°, β = 90.00° and γ = 90.00°. Symmetry generates all atoms from Gd at (0.000, 0.000, 0.161), Te at (0.000, 0.000, 0.500) and O at (0.000, 0.500, 0.250).

Its crystal system is tetragonal. The calculation puts the raw formation energy at -2924 meV/atom.


# 7
The following is a GGA-PBE calculation of crystalline Ir3AuF at its relaxed geometry, from the Alexandria database.

It has space group Pm-3m (No. 221), with a = 4.938 Å, b = 4.938 Å, c = 4.938 Å, α = 90.00°, β = 90.00° and γ = 90.00°. Symmetry generates all atoms from Ir at (0.000, 0.000, 0.500), Au at (0.000, 0.000, 0.000) and F at (0.500, 0.500, 0.500).

Its crystal system is cubic. The polymorph energy (0 for the lowest one) is 1.015 eV/atom. The calculation puts the raw formation energy at 2388 meV/atom.


# 8
The following is a GGA-PBE calculation of crystalline BaSrCd2 at its relaxed geometry, from the Alexandria database.

It has space group Immm (No. 71), with a = 3.939 Å, b = 6.887 Å, c = 13.890 Å, α = 90.00°, β = 90.00° and γ = 90.00°. Symmetry generates all atoms from Ba at (0.000, 0.000, 0.000), Sr at (0.000, 0.000, 0.500) and Cd at (0.000, 0.000, 0.255).

Its crystal system is orthorhombic. Its calculated formation energy is 0.348 eV/atom.


# 9
The following is a GGA-PBE calculation of crystalline GaSbSe3 at its relaxed geometry, from the Alexandria database.

It has space group Pm-3m (No. 221), with a = 4.965 Å, b = 4.965 Å, c = 4.965 Å, α = 90.00°, β = 90.00° and γ = 90.00°. Symmetry generates all atoms from Ga at (0.000, 0.000, 0.000), Sb at (0.500, 0.500, 0.500) and Se at (0.000, 0.000, 0.500).

Its crystal system is cubic. The polymorph energy (0 for the lowest one) is 0.541 eV/atom. The calculation puts the raw formation energy at 221 meV/atom.


# 10
The following is a GGA-PBE calculation of crystalline La4PrAu at its relaxed geometry, from the Alexandria database.

It has space group P4/mmm (No. 123), with a = 3.802 Å, b = 3.802 Å, c = 13.781 Å, α = 90.00°, β = 90.00° and γ = 90.00°. Symmetry generates all atoms from La at (0.000, 0.000, 0.133), La at (0.500, 0.500, 0.316), Pr at (0.000, 0.000, 0.500) and Au at (0.500, 0.500, 0.000).

Its crystal system is tetragonal. The polymorph energy (0 for the lowest one) is 0.000 eV/atom. Its calculated formation energy is -0.251 eV/atom.


Final energy values (in eV per atom) by entry order: -5.698, -8.401, -3.651, -3.454, -2.463, -11.168, -3.958, -1.010, -3.299, -4.879.